DFT (GGA+U) results for an optimized crystal structure of CsV2InO8.

## Properties
Volume ... 20.8 Å³/atom
Spin magnetization ... 2.02 μB/f.u.
Total DFT energy (no corrections) ... -0.4681 Ry per atom
Density of states at the Fermi level ... 8.7 states/eV/f.u.

```
data_CsV2InO8
_cell_length_a 5.8757
_cell_length_b 5.8757
_cell_length_c 8.3505
_cell_angle_alpha 90.00
_cell_angle_beta 90.00
_cell_angle_gamma 120.00
_symmetry_space_group_name_H-M 'P -3'
_symmetry_Int_Tables_number 147
loop_
_symmetry_equiv_pos_as_xyz
'x,y,z'
'-x,-y,-z'
'-y,x-y,z'
'y,-x+y,-z'
'-x+y,-x,z'
'x-y,x,-z'
loop_
_atom_site_label
_atom_site_type_symbol
_atom_site_fract_x
_atom_site_fract_y
_atom_site_fract_z
Cs1 Cs 0.0000 0.0000 0.0000
V1 V 0.3333 0.6667 0.7152
In1 In 0.0000 0.0000 0.5000
O1 O 0.1675 0.3388 0.6534
O2 O 0.3333 0.6667 0.9193
```